## PrBeNi4 (PBE)

Data for PrBeNi4 after structural relaxation.

Unit cell a=6.9515 b=3.6043 c=6.5639 alpha=90.00 beta=90.00 gamma=90.00
Fractional coordinates of all 12 atoms:
Pr (0.2500, 0.0000, 0.1196)
Pr (0.7500, 0.0000, 0.8804)
Be (0.2500, 0.0000, 0.6854)
Be (0.7500, 0.0000, 0.3146)
Ni (0.0000, 0.0000, 0.5000)
Ni (0.0669, 0.5000, 0.7772)
Ni (0.2500, 0.5000, 0.4630)
Ni (0.4331, 0.5000, 0.7772)
Ni (0.5000, 0.0000, 0.5000)
Ni (0.5669, 0.5000, 0.2228)
Ni (0.7500, 0.5000, 0.5370)
Ni (0.9331, 0.5000, 0.2228)

Calculated values
N(E_F)	9.584	states/eV per cell
ΔE_f	-22.3	kJ per mole of atoms
SG	Pmma (51)
crystal system	orthorhombic
VASP energy	-5.503	eV/atom